No. 1
The following is a GGA-PBE calculation of an optimized crystal structure of Pr8YEr5, from Alexandria via LeMat-Bulk.

Summary:
Size of the total moment, μB per atom: 0.00
Total energy, eV/atom: -4.57
ρ, Mg/m³: 6.93
Energy relative to the elements, eV per atom: 0.249

Lattice parameters (Å, degrees): 8.6201 8.6201 8.6201 111.18 111.18 106.10
Last column: nearest neighbours and their distance in Å.
Element x y z (fractional)
Pr: 0.1745 0.4069 0.5872  4 Er 3.21-3.53, 1 Y 3.26
Pr: 0.3273 0.2236 0.2406  5 Er 3.41-3.67, 3 Pr 3.61-3.71
Pr: 0.4127 0.8255 0.2324  4 Er 3.21-3.53, 1 Y 3.26
Pr: 0.5931 0.1802 0.7676  4 Er 3.21-3.53, 1 Y 3.26
Pr: 0.7764 0.0170 0.1036  5 Er 3.41-3.67, 3 Pr 3.61-3.71
Pr: 0.8198 0.5873 0.4128  4 Er 3.21-3.53, 1 Y 3.26
Pr: 0.9133 0.6727 0.8964  5 Er 3.41-3.67, 3 Pr 3.61-3.71
Pr: 0.9830 0.0867 0.7594  5 Er 3.41-3.67, 3 Pr 3.61-3.71
Y: 0.5000 0.5000 0.0000  4 Pr 3.26
Er: 0.0684 0.4742 0.1887  8 Pr 3.39-3.67, 2 Er 3.51
Er: 0.1203 0.9316 0.4059  8 Pr 3.39-3.67, 2 Er 3.51
Er: 0.2855 0.8797 0.8113  8 Pr 3.39-3.67, 2 Er 3.51
Er: 0.5258 0.7145 0.5941  8 Pr 3.39-3.67, 2 Er 3.51
Er: 0.7500 0.2500 0.5000  8 Pr 3.21-3.41


No. 2
The following is a GGA-PBE calculation of an optimized crystal structure of PrY6Er, from Alexandria via LeMat-Bulk.

Summary:
Size of the total moment, μB per atom: 0.00
Total energy, eV/atom: -5.81
Excess energy over the best structure of this formula in the dataset, meV/atom: 52.3
ρ, Mg/m³: 5.29
Energy relative to the elements, eV per atom: 0.203

Lattice parameters (Å, degrees): 6.5858 6.7980 6.9702 118.63 103.10 90.29
Last column: nearest neighbours and their distance in Å.
Element x y z (fractional)
Pr: 0.0000 0.0000 0.0000  2 Er 3.29, 4 Y 3.44-3.51
Y: 0.2343 0.5784 0.4861  6 Y 3.30-3.68, 1 Er 3.37
Y: 0.2535 0.5477 0.0034  5 Y 3.30-3.68, 1 Er 3.48, 1 Pr 3.51
Y: 0.2721 0.0956 0.5264  5 Y 3.30-3.68, 1 Pr 3.44, 1 Er 3.66
Y: 0.7279 0.9044 0.4736  5 Y 3.30-3.68, 1 Pr 3.44, 1 Er 3.66
Y: 0.7465 0.4523 0.9966  5 Y 3.30-3.68, 1 Er 3.48, 1 Pr 3.51
Y: 0.7657 0.4216 0.5139  6 Y 3.30-3.68, 1 Er 3.37
Er: 0.5000 0.0000 0.0000  2 Pr 3.29, 6 Y 3.37-3.66


No. 3
The following is a GGA-PBE calculation of an optimized crystal structure of Pr8Y2Er3, from Alexandria via LeMat-Bulk.

Summary:
Size of the total moment, μB per atom: 0.00
Total energy, eV/atom: -4.79
ρ, Mg/m³: 6.52
Energy relative to the elements, eV per atom: 0.194

Lattice parameters (Å, degrees): 10.9969 10.9969 5.7654 90.02 90.02 41.34
Last column: nearest neighbours and their distance in Å.
Element x y z (fractional)
Pr: 0.0989 0.6916 0.9997  1 Er 3.15, 1 Pr 3.16
Pr: 0.1729 0.1729 0.5006  2 Y 3.40, 4 Pr 3.57-3.58
Pr: 0.3084 0.9011 0.0003  1 Er 3.15, 1 Pr 3.16
Pr: 0.3706 0.3706 0.5001  2 Er 3.46, 2 Y 3.66-3.67, 4 Pr 3.72
Pr: 0.6294 0.6294 0.4999  2 Er 3.46, 2 Y 3.66-3.67, 4 Pr 3.72
Pr: 0.6916 0.0989 0.9997  1 Er 3.15, 1 Pr 3.16
Pr: 0.8271 0.8271 0.4994  2 Y 3.40, 4 Pr 3.57-3.58
Pr: 0.9011 0.3084 0.0003  1 Er 3.15, 1 Pr 3.16
Y: 0.2608 0.2608 0.0007  8 Pr 3.40-3.67
Y: 0.7392 0.7392 0.9993  8 Pr 3.40-3.67
Er: 0.2147 0.7853 0.5000  3 Er 3.33-3.64, 6 Pr 3.46-3.60
Er: 0.5000 0.5000 0.0000  4 Pr 3.15
Er: 0.7853 0.2147 0.5000  3 Er 3.33-3.64, 6 Pr 3.46-3.60


No. 4
The following is a GGA-PBE calculation of an optimized crystal structure of Pr7Y2Er2, from Alexandria via LeMat-Bulk.

Summary:
Size of the total moment, μB per atom: 0.00
Total energy, eV/atom: -4.91
Excess energy over the best structure of this formula in the dataset, meV/atom: 5.6
ρ, Mg/m³: 6.47
Energy relative to the elements, eV per atom: 0.133

Lattice parameters (Å, degrees): 8.1900 8.1900 6.1868 105.37 105.37 90.21
Last column: nearest neighbours and their distance in Å.
Element x y z (fractional)
Pr: 0.0000 0.0000 0.0000  4 Pr 3.34, 2 Er 3.60
Pr: 0.0508 0.5856 0.8193  2 Pr 3.21-3.34, 2 Y 3.39-3.52, 2 Er 3.41-3.58
Pr: 0.4144 0.9492 0.1807  2 Pr 3.21-3.34, 2 Y 3.39-3.52, 2 Er 3.41-3.58
Pr: 0.4244 0.4244 0.1986  6 Pr 3.47-3.86, 3 Er 3.61-3.84, 2 Y 3.77
Pr: 0.5756 0.5756 0.8014  6 Pr 3.47-3.86, 3 Er 3.61-3.84, 2 Y 3.77
Pr: 0.5856 0.0508 0.8193  2 Pr 3.21-3.34, 2 Y 3.39-3.52, 2 Er 3.41-3.58
Pr: 0.9492 0.4144 0.1807  2 Pr 3.21-3.34, 2 Y 3.39-3.52, 2 Er 3.41-3.58
Y: 0.2119 0.7881 0.5000  6 Pr 3.39-3.77, 2 Er 3.52
Y: 0.7881 0.2119 0.5000  6 Pr 3.39-3.77, 2 Er 3.52
Er: 0.2304 0.2304 0.5850  7 Pr 3.41-3.70, 2 Y 3.52
Er: 0.7696 0.7696 0.4150  7 Pr 3.41-3.70, 2 Y 3.52


Q: What is the total energy in the first record?
A: -4.57 eV/atom